Arrangement 1

Tl2SnBi | PBE-GGA | relaxed

Cell and atoms, written as POSCAR:
```
Tl2SnBi
1.0
3.464 0.000 0.000
1.732 3.000 0.000
1.732 1.000 12.004
Bi Tl Sn
1 2 1
direct
0.500 0.500 0.500
0.912 0.912 0.263
0.088 0.088 0.737
0.000 0.000 0.000
```

crystal system	trigonal
mass density	9802	kg/m³
space-group type	R-3m, No. 166
magnetic moment	0.000	μB per atom

Arrangement 2

Tl2SnBi | PBE-GGA | relaxed

Cell and atoms, written as POSCAR:
```
Tl2SnBi
1.0
6.985 0.000 0.000
0.000 6.985 0.000
3.493 3.493 6.649
Tl Sn Bi
4 2 2
direct
0.614 0.125 0.250
0.875 0.864 0.750
0.375 0.386 0.750
0.136 0.625 0.250
0.250 0.750 0.500
0.500 0.500 0.000
0.000 0.000 0.000
0.750 0.250 0.500
```

crystal system	tetragonal
mass density	7539	kg/m³
space-group type	I-42d, No. 122
magnetic moment	0.000	μB per atom

Arrangement 3

Tl2SnBi | PBE-GGA | relaxed

Cell and atoms, written as POSCAR:
```
Tl2SnBi
1.0
-3.341 0.167 -1.056
0.038 -3.443 -0.667
-3.009 -1.820 9.226
Tl Sn Bi
2 1 1
direct
0.000 0.000 0.242
0.000 0.000 0.758
0.500 0.500 0.000
0.500 0.500 0.500
```

crystal system	tetragonal
mass density	10067	kg/m³
space-group type	P4/mmm, No. 123
magnetic moment	0.000	μB per atom

It is arrangement 2 that is the least stable of them.

Arrangement 1

TlSnBi2 | PBE-GGA | relaxed

Cell and atoms, written as POSCAR:
```
TlSnBi2
1.0
3.890 0.000 0.000
0.000 3.890 0.000
0.000 0.000 8.143
Bi Sn Tl
2 1 1
direct
0.000 0.000 0.228
0.000 0.000 0.772
0.500 0.500 0.000
0.500 0.500 0.500
```

crystal system	tetragonal
mass density	9986	kg/m³
space-group type	P4/mmm, No. 123
magnetic moment	0.000	μB per atom

Arrangement 2

TlSnBi2 | PBE-GGA | relaxed

Cell and atoms, written as POSCAR:
```
TlSnBi2
1.0
4.327 0.000 0.000
2.163 3.747 0.000
2.163 1.249 8.211
Bi Tl Sn
2 1 1
direct
0.077 0.077 0.770
0.257 0.257 0.230
0.500 0.500 0.501
0.667 0.667 0.999
```

crystal system	trigonal
mass density	9245	kg/m³
space-group type	R3m, No. 160
magnetic moment	0.000	μB per atom

Arrangement 3

TlSnBi2 | PBE-GGA | relaxed

Cell and atoms, written as POSCAR:
```
TlSnBi2
1.0
7.082 0.000 0.000
0.000 7.082 0.000
3.541 3.541 6.970
Tl Sn Bi
2 2 4
direct
0.000 0.000 0.000
0.750 0.250 0.500
0.250 0.750 0.500
0.500 0.500 0.000
0.614 0.125 0.250
0.136 0.625 0.250
0.875 0.864 0.750
0.375 0.386 0.750
```

crystal system	tetragonal
mass density	7040	kg/m³
space-group type	I-42d, No. 122
magnetic moment	0.000	μB per atom

It is arrangement 3 that is the least stable of them.